[1]
# KLiTl2F8

KLiTl2F8 after structural relaxation (PBE, Alexandria via LeMat-Bulk).

Lattice parameters (Å, degrees): 4.2184 5.9600 7.3730 94.45 92.75 91.65
Closest atoms and distances in Å follow each position.
Fractional coordinates of all 12 atoms:
K: 0.0000 0.0000 0.0000  8 F 2.55-2.83
Li: 0.0000 0.0000 0.5000  2 F 1.82
Tl: 0.4310 0.4747 0.7423  7 F 2.16-2.35
Tl: 0.5690 0.5253 0.2577  7 F 2.16-2.35
F: 0.0733 0.3843 0.2405  2 Tl 2.23-2.32
F: 0.1335 0.1715 0.7055  1 Li 1.82
F: 0.3950 0.7182 0.5229  2 Tl 2.26-2.35, 1 Li 2.41
F: 0.4518 0.7159 0.0020  2 Tl 2.30-2.32
F: 0.5482 0.2841 0.9980  2 Tl 2.30-2.32
F: 0.6050 0.2818 0.4771  2 Tl 2.26-2.35, 1 Li 2.41
F: 0.8665 0.8285 0.2945  1 Li 1.82
F: 0.9267 0.6157 0.7595  2 Tl 2.23-2.32

Calculated values
Calculated density: 5461 kg/m³
Uncorrected formation energy: -2.1708 eV per atom
Total magnetization: 0.00 μB per cell

***

[2]
# Ba2SrTm3O8

Ba2SrTm3O8 after structural relaxation (PBE, Alexandria via LeMat-Bulk).

Lattice parameters (Å, degrees): 7.3259 7.3259 7.3259 56.82 56.82 56.82
Closest atoms and distances in Å follow each position.
Fractional coordinates of all 14 atoms:
Ba: 0.0000 0.0000 0.0000  4 O 2.51-2.67
Ba: 0.3753 0.3753 0.3753  6 O 2.60-2.61
Sr: 0.7562 0.7562 0.7562  3 O 2.40
Tm: 0.3754 0.3754 0.8740  6 O 2.24-2.35
Tm: 0.3754 0.8740 0.3754  6 O 2.24-2.35
Tm: 0.8740 0.3754 0.3754  6 O 2.24-2.35
O: 0.1242 0.1242 0.5676  2 Tm 2.24, 1 Ba 2.51
O: 0.1242 0.5676 0.1242  2 Tm 2.24, 1 Ba 2.51
O: 0.1452 0.1452 0.1452  3 Tm 2.33
O: 0.1724 0.6281 0.6281  2 Tm 2.27, 1 Sr 2.40
O: 0.5676 0.1242 0.1242  2 Tm 2.24, 1 Ba 2.51
O: 0.6079 0.6079 0.6079  3 Tm 2.35
O: 0.6281 0.1724 0.6281  2 Tm 2.27, 1 Sr 2.40
O: 0.6281 0.6281 0.1724  2 Tm 2.27, 1 Sr 2.40

Calculated values
Calculated density: 6427 kg/m³
Uncorrected formation energy: -2.9864 eV per atom
Total magnetization: 1.06 μB per cell

***

[3]
# Sc2Mo

Sc2Mo after structural relaxation (PBE, Alexandria via LeMat-Bulk).

Lattice parameters (Å, degrees): 10.8532 3.3212 7.4561 90.00 110.35 90.00
Closest atoms and distances in Å follow each position.
Fractional coordinates of all 12 atoms:
Sc: 0.0130 0.0000 0.2136  4 Mo 2.91-3.01, 4 Sc 3.10-3.21
Sc: 0.1711 0.5000 0.6187  3 Mo 2.89-3.24, 3 Sc 3.17-3.21
Sc: 0.3289 0.0000 0.3813  3 Mo 2.89-3.24, 3 Sc 3.17-3.21
Sc: 0.4870 0.5000 0.7864  4 Mo 2.91-3.01, 4 Sc 3.10-3.21
Sc: 0.5130 0.5000 0.2136  4 Mo 2.91-3.01, 4 Sc 3.10-3.21
Sc: 0.6711 0.0000 0.6187  3 Mo 2.89-3.24, 3 Sc 3.17-3.21
Sc: 0.8289 0.5000 0.3813  3 Mo 2.89-3.24, 3 Sc 3.17-3.21
Sc: 0.9870 0.0000 0.7864  4 Mo 2.91-3.01, 4 Sc 3.10-3.21
Mo: 0.1845 0.5000 0.0591  2 Mo 2.54
Mo: 0.3155 0.0000 0.9409  2 Mo 2.54
Mo: 0.6845 0.0000 0.0591  2 Mo 2.54
Mo: 0.8155 0.5000 0.9409  2 Mo 2.54

Calculated values
Calculated formation energy: 6 kJ/mol of formula units
Calculated density: 4899 kg/m³
Total magnetization: 0.00 μB per cell

***

[4]
# BaGaCu3

BaGaCu3 after structural relaxation (PBE, Alexandria via LeMat-Bulk).

Lattice parameters (Å, degrees): 6.7203 6.7203 6.7203 129.67 93.01 108.01
Closest atoms and distances in Å follow each position.
Fractional coordinates of all 10 atoms:
Ba: 0.3278 0.0778 0.2500  11 Cu 3.29-3.55
Ba: 0.6722 0.9222 0.7500  11 Cu 3.29-3.55
Ga: 0.0000 0.5000 0.5000  6 Cu 2.50-2.52
Ga: 0.5000 0.5000 0.0000  6 Cu 2.50-2.52
Cu: 0.1220 0.3720 0.7500  4 Cu 2.48, 2 Ga 2.52
Cu: 0.1924 0.0000 0.6924  2 Cu 2.48, 2 Ga 2.50
Cu: 0.1924 0.5000 0.1924  2 Cu 2.48, 2 Ga 2.50
Cu: 0.8076 0.0000 0.3076  2 Cu 2.48, 2 Ga 2.50
Cu: 0.8076 0.5000 0.8076  2 Cu 2.48, 2 Ga 2.50
Cu: 0.8780 0.6280 0.2500  4 Cu 2.48, 2 Ga 2.52

Calculated values
Calculated formation energy: -60 kJ/mol of formula units
Calculated density: 6325 kg/m³
Total magnetization: 0.00 μB per cell

***

calculated density of number 1 (KLiTl2F8)?
5461 kg/m³

***

The highest total magnetization belongs to which entry?
Ba2SrTm3O8